1.
Computed, not measured: a PBEsol-optimized structure of Ba2GeIrF at the meta-GGA SCAN level of DFT.

Results
spin magnetization: 0.000 μB/atom
energy: -173.5 eV for the cell shown
SG: P4/mmm

Unit cell a=6.0092 b=6.0092 c=4.0737 alpha=90.00 beta=90.00 gamma=90.00
Atoms (fractional coordinates):
Ba1 0.0000 0.5000 0.0000
Ba2 0.5000 0.0000 0.0000
Ge1 0.0000 0.0000 0.0000
Ir1 0.5000 0.5000 0.5000
F1 0.0000 0.0000 0.5000

2.
Computed, not measured: a PBEsol-optimized structure of Sr2ZnPt at the meta-GGA SCAN level of DFT.

Results
spin magnetization: 0.000 μB/atom
energy relative to the elements: -130 kJ/mol of formula units
SG: P4/mmm

Unit cell a=4.3831 b=4.3831 c=6.1242 alpha=90.00 beta=90.00 gamma=90.00
Atoms (fractional coordinates):
Sr1 0.0000 0.0000 0.0000
Sr2 0.5000 0.5000 0.5000
Zn1 0.0000 0.0000 0.5000
Pt1 0.5000 0.5000 0.0000

3.
Computed, not measured: a PBEsol-optimized structure of Tl2Pb2I at the meta-GGA SCAN level of DFT.

Results
energy above the lowest structure with this stoichiometry: 0 meV/atom
spin magnetization: 0.000 μB/atom
SG: I4/mmm

Unit cell a=8.7866 b=8.7866 c=8.7866 alpha=150.34 beta=150.34 gamma=42.45
Atoms (fractional coordinates):
Tl1 0.0929 0.0929 0.0000
Tl2 0.9071 0.9071 0.0000
Pb1 0.2500 0.7500 0.5000
Pb2 0.7500 0.2500 0.5000
I1 0.5000 0.5000 0.0000

4.
Computed, not measured: a PBEsol-optimized structure of MnBi2Te4 at the meta-GGA SCAN level of DFT.

Results
spin magnetization: 0.715 μB/atom
energy: -326.3 eV for the cell shown
SG: R-3m

Unit cell a=13.7126 b=13.7126 c=13.7126 alpha=17.93 beta=17.93 gamma=17.93
Atoms (fractional coordinates):
Mn1 0.0000 0.0000 0.0000
Bi1 0.4228 0.4228 0.4228
Bi2 0.5772 0.5772 0.5772
Te1 0.1331 0.1331 0.1331
Te2 0.2965 0.2965 0.2965
Te3 0.7035 0.7035 0.7035
Te4 0.8669 0.8669 0.8669

5.
Computed, not measured: a PBEsol-optimized structure of MnCdP3 at the meta-GGA SCAN level of DFT.

Results
spin magnetization: 0.431 μB/atom
energy relative to the elements: 233 kJ/mol of formula units
SG: Pm-3m

Unit cell a=4.4015 b=4.4015 c=4.4015 alpha=90.00 beta=90.00 gamma=90.00
Atoms (fractional coordinates):
Mn1 0.0000 0.0000 0.0000
Cd1 0.5000 0.5000 0.5000
P1 0.0000 0.0000 0.5000
P2 0.0000 0.5000 0.0000
P3 0.5000 0.0000 0.0000

6.
Computed, not measured: a PBEsol-optimized structure of Al2NiOs at the meta-GGA SCAN level of DFT.

Results
spin magnetization: 0.157 μB/atom
energy relative to the elements: -49 kJ/mol of formula units
SG: P4mm

Unit cell a=2.7133 b=2.7133 c=7.3628 alpha=90.00 beta=90.00 gamma=90.00
Atoms (fractional coordinates):
Al1 0.0000 0.0000 0.0000
Al2 0.5000 0.5000 0.3024
Ni1 0.5000 0.5000 0.7828
Os1 0.0000 0.0000 0.5494

7.
Computed, not measured: a PBEsol-optimized structure of InPtAu2 at the meta-GGA SCAN level of DFT.

Results
spin magnetization: 0.000 μB/atom
energy relative to the elements: -79 kJ/mol of formula units
SG: I-4m2

Unit cell a=5.0595 b=5.0595 c=5.0595 alpha=132.93 beta=132.93 gamma=68.77
Atoms (fractional coordinates):
In1 0.0000 0.0000 0.0000
Pt1 0.7500 0.2500 0.5000
Au1 0.2500 0.7500 0.5000
Au2 0.5000 0.5000 0.0000

8.
Computed, not measured: a PBEsol-optimized structure of RbNiF3 at the meta-GGA SCAN level of DFT.

Results
spin magnetization: 0.400 μB/atom
energy: -120.9 eV for the cell shown
SG: P6_3/mmc

Unit cell a=5.8446 b=5.8446 c=5.1358 alpha=90.00 beta=90.00 gamma=120.00
Atoms (fractional coordinates):
Rb1 0.3333 0.6667 0.2500
Rb2 0.6667 0.3333 0.7500
Ni1 0.0000 0.0000 0.0000
Ni2 0.0000 0.0000 0.5000
F1 0.1515 0.3030 0.7500
F2 0.1515 0.8485 0.7500
F3 0.3030 0.1515 0.2500
F4 0.6970 0.8485 0.7500
F5 0.8485 0.1515 0.2500
F6 0.8485 0.6970 0.2500